# RbNaHg3

An optimized crystal structure of RbNaHg3 (GGA-PBE, Alexandria via LeMat-Bulk).

```
data_RbNaHg3
_space_group_name_H-M_alt 'P m -3 m'
_space_group_IT_number 221
_space_group_name_Hall '-P 4 2 3'
_cell_length_a 5.841
_cell_length_b 5.841
_cell_length_c 5.841
_cell_angle_alpha 90.00
_cell_angle_beta 90.00
_cell_angle_gamma 90.00
loop_
_atom_site_label
_atom_site_fract_x
_atom_site_fract_y
_atom_site_fract_z
_atom_site_occupancy
Rb1 0.000 0.000 0.000 1
Na1 0.500 0.500 0.500 1
Hg1 0.000 0.500 0.500 1
```

E_form: -0.10 eV/atom
N(E_F): 3.03 states/eV/f.u.

***

# LiCeMg6O8

An optimized crystal structure of LiCeMg6O8 (GGA-PBE, Alexandria via LeMat-Bulk).

```
data_LiCeMg6O8
_space_group_name_H-M_alt 'P 4/m m m'
_space_group_IT_number 123
_space_group_name_Hall '-P 4 2'
_cell_length_a 4.454
_cell_length_b 4.454
_cell_length_c 8.925
_cell_angle_alpha 90.00
_cell_angle_beta 90.00
_cell_angle_gamma 90.00
loop_
_atom_site_label
_atom_site_fract_x
_atom_site_fract_y
_atom_site_fract_z
_atom_site_occupancy
Li1 0.000 0.000 0.000 1
Ce1 0.000 0.000 0.500 1
Mg1 0.000 0.500 0.221 1
Mg2 0.500 0.500 0.000 1
Mg3 0.500 0.500 0.500 1
O1 0.000 0.000 0.240 1
O2 0.000 0.500 0.000 1
O3 0.000 0.500 0.500 1
O4 0.500 0.500 0.252 1
```

N(E_F): 3.95 states/eV/f.u.
DFT total energy: -6.102 eV/atom

***

# Ga2HgTe

An optimized crystal structure of Ga2HgTe (GGA-PBE, Alexandria via LeMat-Bulk).

```
data_Ga2HgTe
_space_group_name_H-M_alt 'I -4 2 d'
_space_group_IT_number 122
_space_group_name_Hall 'I -4 2bw'
_cell_length_a 6.632
_cell_length_b 6.632
_cell_length_c 11.719
_cell_angle_alpha 90.00
_cell_angle_beta 90.00
_cell_angle_gamma 90.00
loop_
_atom_site_label
_atom_site_fract_x
_atom_site_fract_y
_atom_site_fract_z
_atom_site_occupancy
Ga1 0.235 0.250 0.125 1
Hg1 0.000 0.000 0.000 1
Te1 0.000 0.000 0.500 1
```

N(E_F): 0.70 states/eV/f.u.
DFT total energy: -2.388 eV/atom

***

# BaNi2As2

An optimized crystal structure of BaNi2As2 (GGA-PBE, Alexandria via LeMat-Bulk).

```
data_BaNi2As2
_space_group_name_H-M_alt 'I 4/m m m'
_space_group_IT_number 139
_space_group_name_Hall '-I 4 2'
_cell_length_a 4.154
_cell_length_b 4.154
_cell_length_c 11.848
_cell_angle_alpha 90.00
_cell_angle_beta 90.00
_cell_angle_gamma 90.00
loop_
_atom_site_label
_atom_site_fract_x
_atom_site_fract_y
_atom_site_fract_z
_atom_site_occupancy
Ba1 0.000 0.000 0.000 1
Ni1 0.000 0.500 0.250 1
As1 0.000 0.000 0.346 1
```

E_form: -0.66 eV/atom
N(E_F): 3.97 states/eV/f.u.

***

# Pm2Nd6Hg

An optimized crystal structure of Pm2Nd6Hg (GGA-PBE, Alexandria via LeMat-Bulk).

```
data_Pm2Nd6Hg
_space_group_name_H-M_alt 'C 1 2/m 1'
_space_group_IT_number 12
_cell_length_a 17.773
_cell_length_b 9.703
_cell_length_c 3.603
_cell_angle_alpha 90.00
_cell_angle_beta 90.12
_cell_angle_gamma 90.00
loop_
_space_group_symop_operation_xyz
'x,y,z'
'-x,-y,-z'
'-x,y,-z'
'x,-y,z'
'x+1/2,y+1/2,z'
'-x+1/2,-y+1/2,-z'
'-x+1/2,y+1/2,-z'
'x+1/2,-y+1/2,z'
loop_
_atom_site_label
_atom_site_fract_x
_atom_site_fract_y
_atom_site_fract_z
_atom_site_occupancy
Pm1 0.175 0.000 0.498 1
Nd1 0.000 0.210 0.500 1
Nd2 0.164 0.327 0.000 1
Hg1 0.000 0.500 0.000 1
```

E_form: 0.04 eV/atom
N(E_F): 14.56 states/eV/f.u.

***

# CaCdC

An optimized crystal structure of CaCdC (GGA-PBE, Alexandria via LeMat-Bulk).

```
data_CaCdC
_space_group_name_H-M_alt 'C 1 2/m 1'
_space_group_IT_number 12
_cell_length_a 7.628
_cell_length_b 3.769
_cell_length_c 9.844
_cell_angle_alpha 90.00
_cell_angle_beta 106.14
_cell_angle_gamma 90.00
loop_
_space_group_symop_operation_xyz
'x,y,z'
'-x,-y,-z'
'-x,y,-z'
'x,-y,z'
'x+1/2,y+1/2,z'
'-x+1/2,-y+1/2,-z'
'-x+1/2,y+1/2,-z'
'x+1/2,-y+1/2,z'
loop_
_atom_site_label
_atom_site_fract_x
_atom_site_fract_y
_atom_site_fract_z
_atom_site_occupancy
Ca1 0.084 0.000 0.343 1
Cd1 0.185 0.500 0.092 1
C1 0.084 0.500 0.537 1
```

E_form: -0.06 eV/atom
N(E_F): 1.32 states/eV/f.u.

***

# Rb3TmO3

An optimized crystal structure of Rb3TmO3 (GGA-PBE, Alexandria via LeMat-Bulk).

```
data_Rb3TmO3
_space_group_name_H-M_alt 'C 1 2/m 1'
_space_group_IT_number 12
_cell_length_a 7.653
_cell_length_b 12.469
_cell_length_c 7.296
_cell_angle_alpha 90.00
_cell_angle_beta 99.49
_cell_angle_gamma 90.00
loop_
_space_group_symop_operation_xyz
'x,y,z'
'-x,-y,-z'
'-x,y,-z'
'x,-y,z'
'x+1/2,y+1/2,z'
'-x+1/2,-y+1/2,-z'
'-x+1/2,y+1/2,-z'
'x+1/2,-y+1/2,z'
loop_
_atom_site_label
_atom_site_fract_x
_atom_site_fract_y
_atom_site_fract_z
_atom_site_occupancy
Rb1 0.000 0.209 0.000 1
Rb2 0.000 0.261 0.500 1
Rb3 0.140 0.500 0.858 1
Tm1 0.175 0.000 0.650 1
O1 0.105 0.000 0.350 1
O2 0.196 0.362 0.233 1
```

N(E_F): 0.00 states/eV/f.u.
DFT total energy: -5.125 eV/atom

***

# Ce2FeOs

An optimized crystal structure of Ce2FeOs (GGA-PBE, Alexandria via LeMat-Bulk).

```
data_Ce2FeOs
_space_group_name_H-M_alt 'P 4/m m m'
_space_group_IT_number 123
_space_group_name_Hall '-P 4 2'
_cell_length_a 4.892
_cell_length_b 4.892
_cell_length_c 3.382
_cell_angle_alpha 90.00
_cell_angle_beta 90.00
_cell_angle_gamma 90.00
loop_
_atom_site_label
_atom_site_fract_x
_atom_site_fract_y
_atom_site_fract_z
_atom_site_occupancy
Ce1 0.000 0.500 0.000 1
Fe1 0.000 0.000 0.500 1
Os1 0.500 0.500 0.500 1
```

E_form: 0.02 eV/atom
N(E_F): 4.99 states/eV/f.u.

***

# Np2B2IrRu5

An optimized crystal structure of Np2B2IrRu5 (GGA-PBE, Alexandria via LeMat-Bulk).

```
data_Np2B2IrRu5
_space_group_name_H-M_alt 'P 4/m b m'
_space_group_IT_number 127
_space_group_name_Hall '-P 4 2ab'
_cell_length_a 9.779
_cell_length_b 9.779
_cell_length_c 2.997
_cell_angle_alpha 90.00
_cell_angle_beta 90.00
_cell_angle_gamma 90.00
loop_
_atom_site_label
_atom_site_fract_x
_atom_site_fract_y
_atom_site_fract_z
_atom_site_occupancy
Np1 0.180 0.320 0.000 1
B1 0.118 0.618 0.000 1
Ir1 0.000 0.000 0.000 1
Ru1 0.000 0.500 0.500 1
Ru2 0.070 0.775 0.500 1
```

E_form: -0.22 eV/atom
N(E_F): 14.76 states/eV/f.u.

***

# Pu2VZnN5

An optimized crystal structure of Pu2VZnN5 (GGA-PBE, Alexandria via LeMat-Bulk).

```
data_Pu2VZnN5
_space_group_name_H-M_alt 'C m c 21'
_space_group_IT_number 36
_cell_length_a 3.194
_cell_length_b 13.429
_cell_length_c 9.636
_cell_angle_alpha 90.00
_cell_angle_beta 90.00
_cell_angle_gamma 90.00
loop_
_space_group_symop_operation_xyz
'x,y,z'
'-x,-y,z+1/2'
'-x,y,z'
'x,-y,z+1/2'
'x+1/2,y+1/2,z'
'-x+1/2,-y+1/2,z+1/2'
'-x+1/2,y+1/2,z'
'x+1/2,-y+1/2,z+1/2'
loop_
_atom_site_label
_atom_site_fract_x
_atom_site_fract_y
_atom_site_fract_z
_atom_site_occupancy
Pu1 0.000 0.126 0.000 1
Pu2 0.000 0.131 0.588 1
V1 0.000 0.213 0.300 1
Zn1 0.000 0.487 0.778 1
N1 0.000 0.078 0.347 1
N2 0.000 0.285 0.948 1
N3 0.000 0.296 0.660 1
N4 0.000 0.359 0.308 1
N5 0.000 0.498 0.068 1
```

N(E_F): 11.37 states/eV/f.u.
DFT total energy: -9.664 eV/atom

***

# Pu5Al2Au5

An optimized crystal structure of Pu5Al2Au5 (GGA-PBE, Alexandria via LeMat-Bulk).

```
data_Pu5Al2Au5
_space_group_name_H-M_alt 'C 1 2/m 1'
_space_group_IT_number 12
_cell_length_a 14.803
_cell_length_b 4.641
_cell_length_c 9.338
_cell_angle_alpha 90.00
_cell_angle_beta 124.97
_cell_angle_gamma 90.00
loop_
_space_group_symop_operation_xyz
'x,y,z'
'-x,-y,-z'
'-x,y,-z'
'x,-y,z'
'x+1/2,y+1/2,z'
'-x+1/2,-y+1/2,-z'
'-x+1/2,y+1/2,-z'
'x+1/2,-y+1/2,z'
loop_
_atom_site_label
_atom_site_fract_x
_atom_site_fract_y
_atom_site_fract_z
_atom_site_occupancy
Pu1 0.000 0.000 0.000 1
Pu2 0.089 0.000 0.779 1
Pu3 0.181 0.000 0.524 1
Al1 0.157 0.500 0.063 1
Au1 0.000 0.500 0.500 1
Au2 0.061 0.500 0.247 1
Au3 0.239 0.500 0.803 1
```

E_form: -0.33 eV/atom
N(E_F): 48.82 states/eV/f.u.

***

# BaFe2Os

An optimized crystal structure of BaFe2Os (GGA-PBE, Alexandria via LeMat-Bulk).

```
data_BaFe2Os
_space_group_name_H-M_alt 'P m m m'
_space_group_IT_number 47
_cell_length_a 3.269
_cell_length_b 4.481
_cell_length_c 5.061
_cell_angle_alpha 90.00
_cell_angle_beta 90.00
_cell_angle_gamma 90.00
loop_
_space_group_symop_operation_xyz
'x,y,z'
'-x,-y,-z'
'-x,-y,z'
'x,y,-z'
'x,-y,-z'
'-x,y,z'
'-x,y,-z'
'x,-y,z'
loop_
_atom_site_label
_atom_site_fract_x
_atom_site_fract_y
_atom_site_fract_z
_atom_site_occupancy
Ba1 0.000 0.000 0.000 1
Fe1 0.000 0.500 0.500 1
Fe2 0.500 0.500 0.000 1
Os1 0.500 0.000 0.500 1
```

E_form: 1.33 eV/atom
N(E_F): 4.05 states/eV/f.u.

***

| no. | M_tot (μB/cell) |
| --- | --- |
| 1 | 0.0 |
| 2 | 0.8 |
| 3 | 0.0 |
| 4 | 0.0 |
| 5 | 0.0 |
| 6 | 0.0 |
| 7 | 0.6 |
| 8 | 0.5 |
| 9 | 11.4 |
| 10 | 30.4 |
| 11 | 11.8 |
| 12 | 6.3 |